Model A:
The following is a PBE calculation of BaPr2Cd after structural relaxation, from Alexandria via LeMat-Bulk.

Cell and atoms, written as CIF:
```
data_BaPr2Cd
_chemical_formula_sum 'Ba1 Pr2 Cd1'
_cell_length_a 3.751
_cell_length_b 3.751
_cell_length_c 12.705
_cell_angle_alpha 81.51
_cell_angle_beta 81.51
_cell_angle_gamma 60.00
_symmetry_space_group_name_H-M 'P 1'
_symmetry_Int_Tables_number 1
_symmetry_space_group_name_Hall 'P 1'
loop_
_atom_site_label
_atom_site_type_symbol
_atom_site_fract_x
_atom_site_fract_y
_atom_site_fract_z
Cd1 Cd 0.500 0.500 0.500
Pr1 Pr 0.100 0.100 0.700
Pr2 Pr 0.900 0.900 0.300
Ba1 Ba 0.000 0.000 0.000
```

Summary:
V   38.134 A^3/atom
Space group   No. 166
D(E_F)   1.49 states/eV/atom
Total moment   0.00 μB/f.u.

---

Model B:
The following is a PBE calculation of BaPr2Cd after structural relaxation, from Alexandria via LeMat-Bulk.

Cell and atoms, written as CIF:
```
data_BaPr2Cd
_chemical_formula_sum 'Ba1 Pr2 Cd1'
_cell_length_a 3.940
_cell_length_b 3.940
_cell_length_c 9.745
_cell_angle_alpha 90.00
_cell_angle_beta 90.00
_cell_angle_gamma 90.00
_symmetry_space_group_name_H-M 'P 1'
_symmetry_Int_Tables_number 1
_symmetry_space_group_name_Hall 'P 1'
loop_
_atom_site_label
_atom_site_type_symbol
_atom_site_fract_x
_atom_site_fract_y
_atom_site_fract_z
Pr1 Pr 0.000 0.000 0.811
Cd1 Cd 0.500 0.500 0.000
Pr2 Pr 0.000 0.000 0.189
Ba1 Ba 0.500 0.500 0.500
```

Summary:
V   37.823 A^3/atom
Space group   No. 123
D(E_F)   1.40 states/eV/atom
Total moment   0.00 μB/f.u.

---

model B comes first in stability; the runner-up is 17.8 kJ/mol of atoms higher.

---

Model A:
The following is a PBE calculation of BaPrCd4 after structural relaxation, from Alexandria via LeMat-Bulk.

Cell and atoms, written as CIF:
```
data_BaPrCd4
_chemical_formula_sum 'Ba1 Pr1 Cd4'
_cell_length_a 3.719
_cell_length_b 5.217
_cell_length_c 9.019
_cell_angle_alpha 90.00
_cell_angle_beta 90.00
_cell_angle_gamma 90.00
_symmetry_space_group_name_H-M 'P 1'
_symmetry_Int_Tables_number 1
_symmetry_space_group_name_Hall 'P 1'
loop_
_atom_site_label
_atom_site_type_symbol
_atom_site_fract_x
_atom_site_fract_y
_atom_site_fract_z
Pr1 Pr 0.999 0.497 0.998
Cd1 Cd 0.499 0.497 0.677
Cd2 Cd 0.499 0.997 0.157
Ba1 Ba 0.999 0.997 0.498
Cd3 Cd 0.499 0.497 0.320
Cd4 Cd 0.499 0.997 0.840
```

Summary:
V   29.169 A^3/atom
Space group   No. 47
D(E_F)   0.85 states/eV/atom
Total moment   0.00 μB/f.u.

---

Model B:
The following is a PBE calculation of BaPrCd4 after structural relaxation, from Alexandria via LeMat-Bulk.

Cell and atoms, written as CIF:
```
data_BaPrCd4
_chemical_formula_sum 'Ba1 Pr1 Cd4'
_cell_length_a 6.209
_cell_length_b 6.209
_cell_length_c 6.209
_cell_angle_alpha 60.00
_cell_angle_beta 60.00
_cell_angle_gamma 60.00
_symmetry_space_group_name_H-M 'P 1'
_symmetry_Int_Tables_number 1
_symmetry_space_group_name_Hall 'P 1'
loop_
_atom_site_label
_atom_site_type_symbol
_atom_site_fract_x
_atom_site_fract_y
_atom_site_fract_z
Pr1 Pr 0.000 0.000 0.000
Cd1 Cd 0.626 0.626 0.122
Cd2 Cd 0.626 0.122 0.626
Ba1 Ba 0.250 0.250 0.250
Cd3 Cd 0.626 0.626 0.626
Cd4 Cd 0.122 0.626 0.626
```

Summary:
V   28.207 A^3/atom
Space group   No. 216
D(E_F)   1.03 states/eV/atom
Total moment   0.00 μB/f.u.

---

model A comes first in stability; the runner-up is 9.2 kJ/mol of atoms higher.

---

Model A:
The following is a PBE calculation of BaCd3Pt2 after structural relaxation, from Alexandria via LeMat-Bulk.

Cell and atoms, written as CIF:
```
data_BaCd3Pt2
_chemical_formula_sum 'Ba2 Cd6 Pt4'
_cell_length_a 4.566
_cell_length_b 8.630
_cell_length_c 8.830
_cell_angle_alpha 115.58
_cell_angle_beta 90.00
_cell_angle_gamma 105.34
_symmetry_space_group_name_H-M 'P 1'
_symmetry_Int_Tables_number 1
_symmetry_space_group_name_Hall 'P 1'
loop_
_atom_site_label
_atom_site_type_symbol
_atom_site_fract_x
_atom_site_fract_y
_atom_site_fract_z
Ba1 Ba 0.149 0.298 0.084
Cd1 Cd 0.607 0.213 0.710
Cd2 Cd 0.319 0.638 0.549
Pt1 Pt 0.515 0.030 0.158
Pt2 Pt 0.817 0.633 0.343
Cd3 Cd 0.681 0.362 0.451
Pt3 Pt 0.183 0.367 0.657
Ba2 Ba 0.851 0.702 0.916
Cd4 Cd 0.975 0.949 0.648
Cd5 Cd 0.025 0.051 0.352
Cd6 Cd 0.393 0.787 0.290
Pt4 Pt 0.485 0.970 0.842
```

Summary:
V   25.004 A^3/atom
Space group   No. 12
D(E_F)   0.40 states/eV/atom
Total moment   0.00 μB/f.u.

---

Model B:
The following is a PBE calculation of BaCd3Pt2 after structural relaxation, from Alexandria via LeMat-Bulk.

Cell and atoms, written as CIF:
```
data_BaCd3Pt2
_chemical_formula_sum 'Ba2 Cd6 Pt4'
_cell_length_a 5.836
_cell_length_b 7.058
_cell_length_c 7.058
_cell_angle_alpha 97.83
_cell_angle_beta 90.00
_cell_angle_gamma 90.00
_symmetry_space_group_name_H-M 'P 1'
_symmetry_Int_Tables_number 1
_symmetry_space_group_name_Hall 'P 1'
loop_
_atom_site_label
_atom_site_type_symbol
_atom_site_fract_x
_atom_site_fract_y
_atom_site_fract_z
Pt1 Pt 0.500 0.773 0.227
Cd1 Cd 0.750 0.454 0.077
Pt2 Pt 0.000 0.773 0.227
Ba1 Ba 0.250 0.352 0.352
Ba2 Ba 0.750 0.648 0.648
Cd2 Cd 0.750 0.077 0.454
Cd3 Cd 0.750 0.036 0.036
Cd4 Cd 0.250 0.546 0.923
Pt3 Pt 0.000 0.227 0.773
Cd5 Cd 0.250 0.964 0.964
Pt4 Pt 0.500 0.227 0.773
Cd6 Cd 0.250 0.923 0.546
```

Summary:
V   24.001 A^3/atom
Space group   No. 63
D(E_F)   0.34 states/eV/atom
Total moment   0.00 μB/f.u.

---

model A comes first in stability; the runner-up is 0.6 kJ/mol of atoms higher.

---

Model A:
The following is a PBE calculation of BaCdPt3 after structural relaxation, from Alexandria via LeMat-Bulk.

Cell and atoms, written as CIF:
```
data_BaCdPt3
_chemical_formula_sum 'Ba1 Cd1 Pt3'
_cell_length_a 5.409
_cell_length_b 5.409
_cell_length_c 5.409
_cell_angle_alpha 90.00
_cell_angle_beta 90.00
_cell_angle_gamma 90.00
_symmetry_space_group_name_H-M 'P 1'
_symmetry_Int_Tables_number 1
_symmetry_space_group_name_Hall 'P 1'
loop_
_atom_site_label
_atom_site_type_symbol
_atom_site_fract_x
_atom_site_fract_y
_atom_site_fract_z
Pt1 Pt 0.500 0.000 0.000
Ba1 Ba 0.000 0.000 0.000
Pt2 Pt 0.000 0.500 0.000
Pt3 Pt 0.000 0.000 0.500
Cd1 Cd 0.500 0.500 0.500
```

Summary:
V   31.649 A^3/atom
Space group   No. 221
D(E_F)   1.00 states/eV/atom
Total moment   0.00 μB/f.u.

---

Model B:
The following is a PBE calculation of BaCdPt3 after structural relaxation, from Alexandria via LeMat-Bulk.

Cell and atoms, written as CIF:
```
data_BaCdPt3
_chemical_formula_sum 'Ba1 Cd1 Pt3'
_cell_length_a 5.090
_cell_length_b 5.090
_cell_length_c 5.090
_cell_angle_alpha 90.00
_cell_angle_beta 90.00
_cell_angle_gamma 90.00
_symmetry_space_group_name_H-M 'P 1'
_symmetry_Int_Tables_number 1
_symmetry_space_group_name_Hall 'P 1'
loop_
_atom_site_label
_atom_site_type_symbol
_atom_site_fract_x
_atom_site_fract_y
_atom_site_fract_z
Pt1 Pt 0.000 0.500 0.000
Cd1 Cd 0.000 0.000 0.000
Pt2 Pt 0.000 0.000 0.500
Ba1 Ba 0.500 0.500 0.500
Pt3 Pt 0.500 0.000 0.000
```

Summary:
V   26.373 A^3/atom
Space group   No. 221
D(E_F)   0.65 states/eV/atom
Total moment   0.00 μB/f.u.

---

model B comes first in stability; the runner-up is 117.7 kJ/mol of atoms higher.